[1]
Here is a relaxed La2Pr3DyHo6 crystal from Alexandria via LeMat-Bulk. Energies are from PBE-GGA.

Geometry as POSCAR:
```
La2Pr3DyHo6
1.0
3.136 -5.432 0.000
3.136 5.432 0.000
-2.087 0.000 11.675
La Pr Dy Ho
2 3 1 6
Direct
0.166 0.834 0.000
0.834 0.166 0.000
0.000 0.000 0.500
0.333 0.667 0.500
0.667 0.333 0.500
0.500 0.500 0.000
0.084 0.416 0.750
0.252 0.252 0.250
0.416 0.084 0.750
0.584 0.916 0.250
0.748 0.748 0.750
0.916 0.584 0.250
```

Output
E_tot   -4.673 eV/atom
Fermi-level density of states   13.69 states/eV/f.u.
Size of the total moment   0.00 Bohr magnetons per cell
Calculated density   7.73 Mg/m³



[2]
Here is a relaxed SmTmGe2 crystal from Alexandria via LeMat-Bulk. Energies are from PBE-GGA.

Geometry as POSCAR:
```
SmTmGe2
1.0
3.983 0.000 0.000
0.000 5.814 0.000
0.000 0.000 7.997
Sm Tm Ge
2 2 4
Direct
0.000 0.132 0.000
0.000 0.868 0.500
0.500 0.369 0.638
0.500 0.631 0.138
0.000 0.395 0.360
0.000 0.605 0.860
0.500 0.107 0.279
0.500 0.893 0.779
```

Output
Energy relative to the lowest polymorph listed for this composition   3 meV per atom
E_tot   -5.445 eV/atom
Fermi-level density of states   2.37 states/eV/f.u.
Size of the total moment   0.00 Bohr magnetons per cell
Calculated density   8.33 Mg/m³